No. 1
# SrMgI4

SrMgI4 after structural relaxation (PBE, Alexandria).

Computed properties:
uncorrected formation energy: -1.35 eV per atom
Fermi-level density of states: 0.000 states/eV/cell

abc: 7.707 4.453 7.957
angles: 90.00 92.36 90.00
Space group P2/m (No. 10)
One atom of each set of equivalent atoms:
1 Sr 0.000 0.000 0.000 x1
2 Mg 0.000 0.500 0.500 x1
3 I 0.218 0.000 0.365 x2
4 I 0.232 0.500 0.808 x2

***

No. 2
# SrOsPt2

SrOsPt2 after structural relaxation (PBE, Alexandria).

Computed properties:
ΔH_f (0 K): 0.136 eV per atom
E above lowest polymorph: 0.104 eV per atom
Fermi-level density of states: 5.159 states/eV/cell

abc: 2.952 2.952 8.417
angles: 90.00 90.00 90.00
Space group P4/mmm (No. 123)
One atom of each set of equivalent atoms:
1 Sr 0.000 0.000 0.000 x1
2 Os 0.000 0.000 0.500 x1
3 Pt 0.500 0.500 0.290 x2

***

No. 3
# AlSb2Pt

AlSb2Pt after structural relaxation (PBE, Alexandria).

Computed properties:
uncorrected formation energy: -0.06 eV per atom
Fermi-level density of states: 9.687 states/eV/cell

abc: 5.881 5.881 13.272
angles: 90.00 90.00 90.00
Space group I-42d (No. 122)
One atom of each set of equivalent atoms:
1 Al 0.000 0.000 0.000 x4
2 Sb 0.230 0.250 0.625 x8
3 Pt 0.000 0.000 0.500 x4

***

No. 4
# Mn2CdCl6

Mn2CdCl6 after structural relaxation (PBE, Alexandria).

Computed properties:
uncorrected formation energy: -1.08 eV per atom
Fermi-level density of states: 0.000 states/eV/cell

abc: 16.791 3.768 7.735
angles: 90.00 104.81 90.00
Space group C2/m (No. 12)
One atom of each set of equivalent atoms:
1 Mn 0.169 0.000 0.335 x4
2 Cd 0.000 0.500 0.000 x2
3 Cl 0.011 0.000 0.246 x4
4 Cl 0.165 0.500 0.110 x4
5 Cl 0.174 0.500 0.563 x4

***

No. 5
# AlBTeC2

AlBTeC2 after structural relaxation (PBE, Alexandria).

Computed properties:
E above lowest polymorph: 0.155 eV per atom
uncorrected formation energy: 2.23 eV per atom
Fermi-level density of states: 4.310 states/eV/cell

abc: 3.772 3.772 5.976
angles: 90.00 90.00 90.00
Space group P4/mmm (No. 123)
One atom of each set of equivalent atoms:
1 Al 0.000 0.000 0.000 x1
2 B 0.500 0.500 0.500 x1
3 Te 0.000 0.000 0.500 x1
4 C 0.000 0.500 0.000 x2

***

No. 6
# NaZnPt2F

NaZnPt2F after structural relaxation (PBE, Alexandria).

Computed properties:
uncorrected formation energy: 0.23 eV per atom
Fermi-level density of states: 4.602 states/eV/cell

abc: 4.606 4.606 6.090
angles: 90.00 90.00 90.00
Space group P4/mmm (No. 123)
One atom of each set of equivalent atoms:
1 Na 0.000 0.000 0.000 x1
2 Zn 0.000 0.000 0.500 x1
3 Pt 0.000 0.500 0.500 x2
4 F 0.500 0.500 0.000 x1

***

No. 7
# YHf3P

YHf3P after structural relaxation (PBE, Alexandria).

Computed properties:
ΔH_f (0 K): -0.301 eV per atom
E above lowest polymorph: 0.000 eV per atom
Fermi-level density of states: 2.869 states/eV/cell

abc: 4.938 4.938 4.938
angles: 90.00 90.00 90.00
Space group Pm-3m (No. 221)
One atom of each set of equivalent atoms:
1 Y 0.000 0.000 0.000 x1
2 Hf 0.000 0.500 0.500 x3
3 P 0.500 0.500 0.500 x1

***

No. 8
# BaY2NpN4

BaY2NpN4 after structural relaxation (PBE, Alexandria).

Computed properties:
uncorrected formation energy: -1.07 eV per atom
Fermi-level density of states: 21.348 states/eV/cell

abc: 3.575 13.058 12.564
angles: 90.00 90.00 90.00
Space group Cmcm (No. 63)
One atom of each set of equivalent atoms:
1 Ba 0.000 0.037 0.250 x4
2 Y 0.000 0.372 0.034 x8
3 Np 0.000 0.230 0.750 x4
4 N 0.000 0.000 0.000 x4
5 N 0.000 0.242 0.595 x8
6 N 0.000 0.377 0.250 x4

***

No. 9
# NdScSe

NdScSe after structural relaxation (PBE, Alexandria).

Computed properties:
E above lowest polymorph: 0.000 eV per atom
uncorrected formation energy: -1.09 eV per atom
Fermi-level density of states: 3.423 states/eV/cell

abc: 4.158 4.158 8.205
angles: 90.00 90.00 90.00
Space group P4/nmm (No. 129, origin choice 2)
One atom of each set of equivalent atoms:
1 Nd 0.250 0.250 0.144 x2
2 Sc 0.250 0.750 0.500 x2
3 Se 0.250 0.250 0.751 x2

***

No. 10
# HfIn2BiOs

HfIn2BiOs after structural relaxation (PBE, Alexandria).

Computed properties:
ΔH_f (0 K): 0.300 eV per atom
Fermi-level density of states: 4.960 states/eV/cell

abc: 5.191 5.191 5.028
angles: 90.00 90.00 90.00
Space group P4/mmm (No. 123)
One atom of each set of equivalent atoms:
1 Hf 0.000 0.000 0.000 x1
2 In 0.000 0.500 0.500 x2
3 Bi 0.500 0.500 0.000 x1
4 Os 0.000 0.000 0.500 x1

***

No. 11
# SrSb2Au

SrSb2Au after structural relaxation (PBE, Alexandria).

Computed properties:
uncorrected formation energy: -0.50 eV per atom
Fermi-level density of states: 1.451 states/eV/cell

abc: 4.855 4.378 6.023
angles: 90.00 103.66 90.00
Space group P2/m (No. 10)
One atom of each set of equivalent atoms:
1 Sr 0.000 0.000 0.000 x1
2 Sb 0.381 0.500 0.748 x2
3 Au 0.500 0.000 0.500 x1

***

No. 12
# LaCd2Se

LaCd2Se after structural relaxation (PBE, Alexandria).

Computed properties:
uncorrected formation energy: -0.30 eV per atom
Fermi-level density of states: 7.471 states/eV/cell

abc: 4.1415 4.1415 24.0380
angles: 90.00 90.00 120.00
Space group R-3m (No. 166, hexagonal axes)
One atom of each set of equivalent atoms:
1 La 0.0000 0.0000 0.0000 x3
2 Cd 0.0000 0.0000 0.2339 x6
3 Se 0.0000 0.0000 0.5000 x3

***

No. 13
# La7PmY3

La7PmY3 after structural relaxation (PBE, Alexandria).

Computed properties:
ΔH_f (0 K): 0.173 eV per atom
E above lowest polymorph: 0.000 eV per atom
Fermi-level density of states: 17.373 states/eV/cell

abc: 7.3191 7.3191 8.7286
angles: 90.00 90.00 120.00
Space group P3m1 (No. 156)
One atom of each set of equivalent atoms:
1 La 0.0000 0.0000 0.0000 x1
2 La 0.0037 0.5019 0.9709 x3
3 La 0.1686 0.3372 0.3305 x3
4 Pm 0.6667 0.3333 0.3064 x1
5 Y 0.3338 0.1669 0.6504 x3

***

No. 14
# Pr4InPt

Pr4InPt after structural relaxation (PBE, Alexandria).

Computed properties:
ΔH_f (0 K): -0.579 eV per atom
E above lowest polymorph: 0.000 eV per atom
Fermi-level density of states: 114.613 states/eV/cell

abc: 14.317 14.317 14.317
angles: 90.00 90.00 90.00
Space group F-43m (No. 216)
One atom of each set of equivalent atoms:
1 Pr 0.000 0.000 0.187 x24
2 Pr 0.056 0.250 0.750 x24
3 Pr 0.100 0.100 0.400 x16
4 In 0.169 0.169 0.169 x16
5 Pt 0.107 0.107 0.607 x16

***

No. 15
# Y2TmAgC

Y2TmAgC after structural relaxation (PBE, Alexandria).

Computed properties:
ΔH_f (0 K): -0.238 eV per atom
Fermi-level density of states: 6.506 states/eV/cell

abc: 4.933 4.933 4.772
angles: 90.00 90.00 90.00
Space group P4/mmm (No. 123)
One atom of each set of equivalent atoms:
1 Y 0.000 0.500 0.000 x2
2 Tm 0.000 0.000 0.500 x1
3 Ag 0.500 0.500 0.500 x1
4 C 0.000 0.000 0.000 x1

***

No. 16
# SmY2Cu

SmY2Cu after structural relaxation (PBE, Alexandria).

Computed properties:
ΔH_f (0 K): -0.062 eV per atom
E above lowest polymorph: 0.035 eV per atom
Fermi-level density of states: 11.229 states/eV/cell

abc: 5.009 7.471 6.414
angles: 90.00 112.96 90.00
Space group P2_1/m (No. 11)
One atom of each set of equivalent atoms:
1 Sm 0.045 0.250 0.090 x2
2 Y 0.351 0.029 0.701 x4
3 Cu 0.195 0.750 0.394 x2

***

No. 17
# Sr2In3Ag9

Sr2In3Ag9 after structural relaxation (PBE, Alexandria).

Computed properties:
ΔH_f (0 K): -0.193 eV per atom
Fermi-level density of states: 20.505 states/eV/cell

abc: 14.514 8.623 10.025
angles: 90.00 90.00 90.00
Space group Cmcm (No. 63)
One atom of each set of equivalent atoms:
1 Sr 0.154 0.169 0.250 x8
2 In 0.000 0.000 0.000 x4
3 In 0.184 0.500 0.000 x8
4 Ag 0.000 0.152 0.750 x4
5 Ag 0.000 0.339 0.027 x8
6 Ag 0.097 0.454 0.750 x8
7 Ag 0.164 0.180 0.589 x16

***

No. 18
# POs2Pt

POs2Pt after structural relaxation (PBE, Alexandria).

Computed properties:
ΔH_f (0 K): 0.069 eV per atom
Fermi-level density of states: 4.424 states/eV/cell

abc: 2.826 4.319 9.362
angles: 90.00 90.00 90.00
Space group Immm (No. 71)
One atom of each set of equivalent atoms:
1 P 0.000 0.000 0.000 x2
2 Os 0.000 0.500 0.299 x4
3 Pt 0.000 0.000 0.500 x2

***

No. 19
# YPSe

YPSe after structural relaxation (PBE, Alexandria).

Computed properties:
uncorrected formation energy: -1.14 eV per atom

abc: 9.559 5.022 5.668
angles: 90.00 97.17 90.00
Space group Cm (No. 8)
One atom of each set of equivalent atoms:
1 Y 0.000 0.000 0.000 x2
2 Y 0.220 0.500 0.474 x2
3 P 0.108 0.500 0.927 x2
4 P 0.376 0.000 0.807 x2
5 Se 0.039 0.000 0.496 x2
6 Se 0.299 0.000 0.180 x2

***

No. 20
# TbYPbSe

TbYPbSe after structural relaxation (PBE, Alexandria).

Computed properties:
uncorrected formation energy: -1.14 eV per atom
Fermi-level density of states: 0.973 states/eV/cell

abc: 4.294 4.294 6.087
angles: 90.00 90.00 90.00
Space group P4/mmm (No. 123)
One atom of each set of equivalent atoms:
1 Tb 0.000 0.000 0.000 x1
2 Y 0.500 0.500 0.500 x1
3 Pb 0.000 0.000 0.500 x1
4 Se 0.500 0.500 0.000 x1

***

No. 21
# BIrRu3

BIrRu3 after structural relaxation (PBE, Alexandria).

Computed properties:
ΔH_f (0 K): 2.582 eV per atom
E above lowest polymorph: 2.350 eV per atom
Fermi-level density of states: 8.213 states/eV/cell

abc: 4.689 4.689 4.689
angles: 90.00 90.00 90.00
Space group Pm-3m (No. 221)
One atom of each set of equivalent atoms:
1 B 0.000 0.000 0.000 x1
2 Ir 0.500 0.500 0.500 x1
3 Ru 0.000 0.500 0.500 x3

***

No. 22
# EuAg4As

EuAg4As after structural relaxation (PBE, Alexandria).

Computed properties:
ΔH_f (0 K): -0.177 eV per atom
Fermi-level density of states: 45.654 states/eV/cell

abc: 7.984 7.984 7.984
angles: 90.00 90.00 90.00
Space group F-43m (No. 216)
One atom of each set of equivalent atoms:
1 Eu 0.000 0.000 0.000 x4
2 Ag 0.125 0.125 0.375 x16
3 As 0.250 0.250 0.750 x4

***

No. 23
# Pm5Nd4Pb2

Pm5Nd4Pb2 after structural relaxation (PBE, Alexandria).

Computed properties:
ΔH_f (0 K): 0.158 eV per atom
Fermi-level density of states: 48.753 states/eV/cell

abc: 5.4095 5.4095 47.2559
angles: 90.00 90.00 120.00
Space group R-3m (No. 166, hexagonal axes)
One atom of each set of equivalent atoms:
1 Pm 0.0000 0.0000 0.0000 x3
2 Pm 0.0000 0.0000 0.1480 x6
3 Pm 0.0000 0.0000 0.3040 x6
4 Nd 0.0000 0.0000 0.0730 x6
5 Nd 0.0000 0.0000 0.2257 x6
6 Pb 0.0000 0.0000 0.3799 x6

***

Magnetic moment in μB per formula unit, matching the order above: 0.000, 0.000, 0.000, 10.000, 0.000, 0.092, 0.000, 2.832, 0.273, 0.000, 0.000, 0.001, 0.000, 0.000, 0.804, 0.000, 0.000, 0.000, 0.000, 0.000, 1.630, 6.846, 0.881
E in eV for the cell shown, matching the order above: -17.6, -24.4, -73.1, -80.1, -20.8, -15.4, -43.2, -278.6, -35.7, -29.0, -15.2, -34.3, -56.7, -502.0, -30.7, -44.0, -159.8, -67.3, -75.2, -22.8, -30.5, -109.6, -145.5
Ρ in Mg/m³, matching the order above: 3.77, 15.12, 6.74, 3.05, 3.70, 6.39, 9.04, 6.89, 6.28, 9.90, 7.05, 6.18, 5.68, 7.91, 6.67, 5.89, 7.89, 17.62, 4.89, 7.90, 8.15, 8.59, 7.14